Crystalline LiBe2P at its relaxed geometry. Source: the Alexandria database, functional PBE-GGA.

Calculated values
energy	-3.494	eV per atom
total magnetic moment	0.000	Bohr magnetons per cell
crystal system	tetragonal

The structure in CIF format:
```
data_LiBe2P
_space_group_name_H-M_alt 'I -4 2 d'
_space_group_IT_number 122
_space_group_name_Hall 'I -4 2bw'
_cell_length_a 6.864
_cell_length_b 6.864
_cell_length_c 4.705
_cell_angle_alpha 90.00
_cell_angle_beta 90.00
_cell_angle_gamma 90.00
loop_
_atom_site_label
_atom_site_fract_x
_atom_site_fract_y
_atom_site_fract_z
_atom_site_occupancy
Li1 0.000 0.000 0.000 1
Be1 0.166 0.750 0.625 1
P1 0.000 0.000 0.500 1
```

---

Crystalline LiBe2P at its relaxed geometry. Source: the Alexandria database, functional PBE-GGA.

Calculated values
energy	-3.975	eV per atom
total magnetic moment	0.000	Bohr magnetons per cell
crystal system	triclinic

The structure in CIF format:
```
data_LiBe2P
_space_group_name_H-M_alt 'P -1'
_space_group_IT_number 2
_space_group_name_Hall '-P 1'
_cell_length_a 3.509
_cell_length_b 3.509
_cell_length_c 8.063
_cell_angle_alpha 95.35
_cell_angle_beta 95.46
_cell_angle_gamma 97.39
loop_
_atom_site_label
_atom_site_fract_x
_atom_site_fract_y
_atom_site_fract_z
_atom_site_occupancy
Li1 0.219 0.220 0.390 1
Be1 0.145 0.672 0.121 1
Be2 0.332 0.851 0.879 1
P1 0.310 0.307 0.717 1
```

---

Crystalline LiBePPd2 at its relaxed geometry. Source: the Alexandria database, functional PBE-GGA.

Calculated values
energy	-3.720	eV per atom
total magnetic moment	0.000	Bohr magnetons per cell
crystal system	tetragonal

The structure in CIF format:
```
data_LiBePPd2
_space_group_name_H-M_alt 'P 4/m m m'
_space_group_IT_number 123
_space_group_name_Hall '-P 4 2'
_cell_length_a 4.229
_cell_length_b 4.229
_cell_length_c 3.912
_cell_angle_alpha 90.00
_cell_angle_beta 90.00
_cell_angle_gamma 90.00
loop_
_atom_site_label
_atom_site_fract_x
_atom_site_fract_y
_atom_site_fract_z
_atom_site_occupancy
Li1 0.000 0.000 0.000 1
Be1 0.000 0.000 0.500 1
P1 0.500 0.500 0.500 1
Pd1 0.000 0.500 0.000 1
```

---

Crystalline LiPuBe2P2 at its relaxed geometry. Source: the Alexandria database, functional PBE-GGA.

Calculated values
energy	-6.315	eV per atom
total magnetic moment	5.940	Bohr magnetons per cell
crystal system	trigonal

The structure in CIF format:
```
data_LiPuBe2P2
_space_group_name_H-M_alt 'P -3 m 1'
_space_group_IT_number 164
_space_group_name_Hall '-P 3 2"'
_cell_length_a 3.8402
_cell_length_b 3.8402
_cell_length_c 6.4157
_cell_angle_alpha 90.00
_cell_angle_beta 90.00
_cell_angle_gamma 120.00
loop_
_atom_site_label
_atom_site_fract_x
_atom_site_fract_y
_atom_site_fract_z
_atom_site_occupancy
Li1 0.0000 0.0000 0.0000 1
Pu1 0.0000 0.0000 0.5000 1
Be1 0.3333 0.6667 0.1718 1
P1 0.3333 0.6667 0.7852 1
```

---

Crystalline LiBePS2 at its relaxed geometry. Source: the Alexandria database, functional PBE-GGA.

Calculated values
formation energy without anion corrections	0.119	eV/atom
energy	-3.742	eV per atom
energy above the lowest structure with this stoichiometry	0.0000	eV per atom
total magnetic moment	0.000	Bohr magnetons per cell
crystal system	tetragonal

The structure in CIF format:
```
data_LiBePS2
_space_group_name_H-M_alt 'P 4/m m m'
_space_group_IT_number 123
_space_group_name_Hall '-P 4 2'
_cell_length_a 4.573
_cell_length_b 4.573
_cell_length_c 4.051
_cell_angle_alpha 90.00
_cell_angle_beta 90.00
_cell_angle_gamma 90.00
loop_
_atom_site_label
_atom_site_fract_x
_atom_site_fract_y
_atom_site_fract_z
_atom_site_occupancy
Li1 0.000 0.000 0.000 1
Be1 0.500 0.500 0.500 1
P1 0.500 0.500 0.000 1
S1 0.000 0.500 0.500 1
```

---

Crystalline LiBePS2 at its relaxed geometry. Source: the Alexandria database, functional PBE-GGA.

Calculated values
formation energy without anion corrections	0.920	eV/atom
energy	-2.941	eV per atom
energy above the lowest structure with this stoichiometry	0.8010	eV per atom
total magnetic moment	0.000	Bohr magnetons per cell
crystal system	tetragonal

The structure in CIF format:
```
data_LiBePS2
_space_group_name_H-M_alt 'P 4/m m m'
_space_group_IT_number 123
_space_group_name_Hall '-P 4 2'
_cell_length_a 4.465
_cell_length_b 4.465
_cell_length_c 4.132
_cell_angle_alpha 90.00
_cell_angle_beta 90.00
_cell_angle_gamma 90.00
loop_
_atom_site_label
_atom_site_fract_x
_atom_site_fract_y
_atom_site_fract_z
_atom_site_occupancy
Li1 0.000 0.000 0.000 1
Be1 0.500 0.500 0.500 1
P1 0.000 0.000 0.500 1
S1 0.000 0.500 0.000 1
```